No. 1
Computed, not measured: an optimized crystal structure of NaSmNbO4 at the PBE-GGA level of DFT.

Calculated values
The space group is P4/nmm (129).

Unit cell a=3.9388 b=3.9388 c=12.5466 alpha=90.00 beta=90.00 gamma=90.00
Last column: magnetic moment on the atom in μB.
Fractional coordinates of all 14 atoms:
Nb  0.0000  0.5000  0.7427  0.07
Na  0.5000  0.0000  0.5838  0.00
Na  0.0000  0.5000  0.4162  0.00
Nb  0.5000  0.0000  0.2573  0.07
O  0.0000  0.0000  0.7782  0.00
O  0.5000  0.5000  0.7782  0.00
O  0.0000  0.5000  0.5934  0.00
Sm  0.0000  0.5000  0.1072  0.01
O  0.5000  0.5000  0.2218  0.00
O  0.5000  0.0000  0.4066  0.00
O  0.5000  0.0000  0.0692  0.00
O  0.0000  0.0000  0.2218  0.00
O  0.0000  0.5000  0.9308  0.00
Sm  0.5000  0.0000  0.8928  0.01

No. 2
Computed, not measured: an optimized crystal structure of NaNb3Te4O16 at the PBE-GGA level of DFT.

Calculated values
The space group is P2_1/m (11).

Unit cell a=6.5588 b=7.4313 c=14.0450 alpha=90.00 beta=102.87 gamma=90.00
Fractional coordinates of all 48 atoms:
O  0.2963  0.2500  0.5790
O  0.1237  0.5570  0.4295
Te  0.5867  0.7500  0.2866
O  0.6294  0.2500  0.1252
O  0.8763  0.0570  0.5705
O  0.0504  0.0477  0.1433
O  0.0504  0.4523  0.1433
O  0.6172  0.0629  0.7032
O  0.9790  0.7500  0.2578
O  0.2258  0.9483  0.7165
Te  0.9491  0.2500  0.4948
Nb  0.0000  0.5000  0.0000
Nb  0.9224  0.5010  0.7234
O  0.9496  0.5477  0.8567
O  0.9496  0.9523  0.8567
O  0.2258  0.5517  0.7165
O  0.3013  0.4406  0.0038
O  0.8763  0.4430  0.5705
O  0.6172  0.4371  0.7032
O  0.0210  0.2500  0.7422
Nb  0.9224  0.9990  0.7234
O  0.0907  0.7500  0.0279
O  0.6987  0.5594  0.9962
O  0.1237  0.9430  0.4295
Te  0.5783  0.2500  0.2746
O  0.9093  0.2500  0.9721
O  0.6987  0.9406  0.9962
Nb  0.0000  0.0000  0.0000
O  0.6364  0.2500  0.4209
Nb  0.0776  0.4990  0.2766
Na  0.5000  0.0000  0.5000
Te  0.5002  0.2500  0.9949
O  0.3706  0.7500  0.8748
Te  0.4998  0.7500  0.0051
Nb  0.0776  0.0010  0.2766
O  0.3636  0.7500  0.5791
Te  0.4133  0.2500  0.7134
Na  0.5000  0.5000  0.5000
Te  0.4217  0.7500  0.7254
O  0.7037  0.7500  0.4210
O  0.7742  0.0517  0.2835
Te  0.0509  0.7500  0.5052
O  0.7742  0.4483  0.2835
O  0.8502  0.7500  0.6800
O  0.3828  0.9371  0.2968
O  0.3013  0.0594  0.0038
O  0.1498  0.2500  0.3200
O  0.3828  0.5629  0.2968

No. 3
Computed, not measured: an optimized crystal structure of NaNbTeO at the PBE-GGA level of DFT.

Calculated values
The space group is P4/nmm (129). The energy above the most stable polymorph in this dataset is 379 meV/atom.

Unit cell a=3.8130 b=3.8130 c=9.8201 alpha=90.00 beta=90.00 gamma=90.00
Fractional coordinates of all 8 atoms:
Te  0.2500  0.2500  0.7378
Nb  0.7500  0.7500  0.8870
Te  0.7500  0.7500  0.2622
Na  0.7500  0.2500  0.5000
O  0.7500  0.2500  0.0000
Na  0.2500  0.7500  0.5000
O  0.2500  0.7500  0.0000
Nb  0.2500  0.2500  0.1130

Number 1: raw total energy -107.65 eV for the cell shown. Number 2: raw total energy -331.18 eV for the cell shown. Number 3: raw total energy -45.49 eV for the cell shown.